# 1
## NiBiSb3 (GGA-PBE)

Data for an optimized crystal structure of NiBiSb3.

Its uncorrected formation energy is 1.5118 eV per atom. The value obtained for the excess energy over the best structure of this formula in the dataset is 614 kJ/mol of formula units.

It has space group Pm-3m (No. 221), with a = 5.7710 Å, b = 5.7710 Å, c = 5.7710 Å, α = 90.00°, β = 90.00° and γ = 90.00°. The distinct sites, in fractional coordinates, are Ni at (0.0000, 0.0000, 0.0000), Bi at (0.5000, 0.5000, 0.5000) and Sb at (0.0000, 0.5000, 0.5000).

# 2
## LaAsOs2 (GGA-PBE)

Data for an optimized crystal structure of LaAsOs2.

As for the formation energy: 460 meV/atom.

It has space group C2/m (No. 12), with a = 5.8505 Å, b = 9.9448 Å, c = 2.8953 Å, α = 90.00°, β = 119.42° and γ = 90.00°. The distinct sites, in fractional coordinates, are La at (0.0000, 0.0000, 0.0000), As at (0.0000, 0.5000, 0.0000) and Os at (0.2500, 0.2500, 0.5000).

# 3
## Nd12Y7Sc (GGA-PBE)

Data for an optimized crystal structure of Nd12Y7Sc.

As for the formation energy: 261 meV/atom. The value obtained for the excess energy over the best structure of this formula in the dataset is 209 kJ/mol of formula units.

It has space group R-3 (No. 148, hexagonal axes), with a = 18.9477 Å, b = 18.9477 Å, c = 6.7631 Å, α = 90.00°, β = 90.00° and γ = 120.00°. The distinct sites, in fractional coordinates, are Nd at (0.9997, 0.2097, 0.2986), Nd at (0.0065, 0.5380, 0.7428), Y at (0.0000, 0.0000, 0.5000), Y at (0.0080, 0.1514, 0.7952) and Sc at (0.0000, 0.0000, 0.0000).

# 4
## Li3PrPu2Se6 (GGA-PBE)

Data for an optimized crystal structure of Li3PrPu2Se6.

Its uncorrected formation energy is -1.4750 eV per atom.

It has space group C2/m (No. 12), with a = 7.2189 Å, b = 12.5014 Å, c = 6.9011 Å, α = 90.00°, β = 110.40° and γ = 90.00°. The distinct sites, in fractional coordinates, are Li at (0.0000, 0.0000, 0.0000), Li at (0.0000, 0.3317, 0.0000), Pr at (0.0000, 0.5000, 0.5000), Pu at (0.0000, 0.1664, 0.5000), Se at (0.2437, 0.1710, 0.2440) and Se at (0.2447, 0.0000, 0.7589).

# 5
## TaAsP (GGA-PBE)

Data for an optimized crystal structure of TaAsP.

As for the formation energy: 555 meV/atom. The value obtained for the excess energy over the best structure of this formula in the dataset is 285 kJ/mol of formula units.

It has space group F-43m (No. 216), with a = 6.1008 Å, b = 6.1008 Å, c = 6.1008 Å, α = 90.00°, β = 90.00° and γ = 90.00°. The distinct sites, in fractional coordinates, are Ta at (0.0000, 0.0000, 0.0000), As at (0.2500, 0.2500, 0.2500) and P at (0.0000, 0.0000, 0.5000).

# 6
## YSi2Hg (GGA-PBE)

Data for an optimized crystal structure of YSi2Hg.

Its uncorrected formation energy is -0.1024 eV per atom.

It has space group P4mm (No. 99), with a = 3.4593 Å, b = 3.4593 Å, c = 6.7836 Å, α = 90.00°, β = 90.00° and γ = 90.00°. The distinct sites, in fractional coordinates, are Y at (0.0000, 0.0000, 0.0000), Si at (0.0000, 0.0000, 0.5783), Si at (0.5000, 0.5000, 0.7221) and Hg at (0.5000, 0.5000, 0.3091).

# 7
## PuMgCd2Au4 (GGA-PBE)

Data for an optimized crystal structure of PuMgCd2Au4.

As for the formation energy: -368 meV/atom.

It has space group R-3m (No. 166, hexagonal axes), with a = 4.8602 Å, b = 4.8602 Å, c = 24.1988 Å, α = 90.00°, β = 90.00° and γ = 120.00°. The distinct sites, in fractional coordinates, are Pu at (0.0000, 0.0000, 0.0000), Mg at (0.0000, 0.0000, 0.5000), Cd at (0.0000, 0.0000, 0.2506), Au at (0.0000, 0.0000, 0.1299) and Au at (0.0000, 0.0000, 0.3852).

# 8
## SrGa4Se7 (GGA-PBE)

Data for an optimized crystal structure of SrGa4Se7.

Its uncorrected formation energy is -0.8321 eV per atom.

It has space group Pmn2_1 (No. 31), with a = 15.7575 Å, b = 6.6504 Å, c = 6.4491 Å, α = 90.00°, β = 90.00° and γ = 90.00°. The distinct sites, in fractional coordinates, are Sr at (0.0000, 0.1017, 0.0000), Ga at (0.1217, 0.6581, 0.7407), Ga at (0.2500, 0.1711, 0.7257), Se at (0.0000, 0.8364, 0.5972), Se at (0.1132, 0.7088, 0.1142), Se at (0.1142, 0.3090, 0.6329) and Se at (0.2447, 0.1863, 0.1145).

# 9
## HfSc2Fe (GGA-PBE)

Data for an optimized crystal structure of HfSc2Fe.

As for the formation energy: 12 meV/atom. The value obtained for the excess energy over the best structure of this formula in the dataset is 43 kJ/mol of formula units.

It has space group P4/mmm (No. 123), with a = 3.1497 Å, b = 3.1497 Å, c = 7.7159 Å, α = 90.00°, β = 90.00° and γ = 90.00°. The distinct sites, in fractional coordinates, are Hf at (0.0000, 0.0000, 0.0000), Sc at (0.5000, 0.5000, 0.3067) and Fe at (0.0000, 0.0000, 0.5000).

# 10
## BeV2Se (GGA-PBE)

Data for an optimized crystal structure of BeV2Se.

Its uncorrected formation energy is 0.1847 eV per atom. The value obtained for the excess energy over the best structure of this formula in the dataset is 0 kJ/mol of formula units.

It has space group Fm-3m (No. 225), with a = 5.8903 Å, b = 5.8903 Å, c = 5.8903 Å, α = 90.00°, β = 90.00° and γ = 90.00°. The distinct sites, in fractional coordinates, are Be at (0.0000, 0.0000, 0.0000), V at (0.2500, 0.2500, 0.2500) and Se at (0.0000, 0.0000, 0.5000).

# 11
## MgZnNiGe2 (GGA-PBE)

Data for an optimized crystal structure of MgZnNiGe2.

As for the formation energy: 909 meV/atom.

It has space group P4/mmm (No. 123), with a = 4.9246 Å, b = 4.9246 Å, c = 4.5509 Å, α = 90.00°, β = 90.00° and γ = 90.00°. The distinct sites, in fractional coordinates, are Mg at (0.0000, 0.0000, 0.0000), Zn at (0.5000, 0.5000, 0.5000), Ni at (0.0000, 0.0000, 0.5000) and Ge at (0.0000, 0.5000, 0.0000).

# 12
## Li5GaAu (GGA-PBE)

Data for an optimized crystal structure of Li5GaAu.

As for the formation energy: -230 meV/atom. The value obtained for the excess energy over the best structure of this formula in the dataset is 20 kJ/mol of formula units.

It has space group P4/mmm (No. 123), with a = 4.3309 Å, b = 4.3309 Å, c = 6.5647 Å, α = 90.00°, β = 90.00° and γ = 90.00°. The distinct sites, in fractional coordinates, are Li at (0.0000, 0.0000, 0.0000), Li at (0.0000, 0.5000, 0.2652), Ga at (0.0000, 0.0000, 0.5000) and Au at (0.5000, 0.5000, 0.0000).

no.,D(E_F) (states/eV/f.u.)
1,7.61
2,4.03
3,27.55
4,20.95
5,3.33
6,2.26
7,16.36
8,0.00
9,4.02
10,5.72
11,2.45
12,2.70